Density functional theory data (PBE) for crystalline OsBrCl2 at its relaxed geometry.

## Properties
Energy relative to the elements, uncorrected (meV/atom): 163
Magnetization (μB per cell): 1.03
Uncorrected energy (eV for the cell shown): -15.943

Cell: 6.509 6.509 6.512 Å, 119.45 119.45 30.33°
Atoms (fractional coordinates):
Os 0.000 0.000 0.000
Br 0.656 0.656 0.297
Cl 0.370 0.370 0.014
Cl 0.505 0.505 0.746

***

Density functional theory data (PBE) for crystalline Ac2Pm5DyHo at its relaxed geometry.

## Properties
Formation energy from the elements (eV/atom): 0.14
Magnetization (μB per cell): 0.00
Uncorrected energy (eV for the cell shown): -79.799

Cell: 10.686 10.686 10.950 Å, 90.00 90.00 148.41°
Atoms (fractional coordinates):
Ac 0.112 0.888 0.500
Ac 0.117 0.883 0.084
Ac 0.883 0.117 0.584
Ac 0.888 0.112 0.000
Pm 0.019 0.981 0.788
Pm 0.282 0.718 0.075
Pm 0.295 0.705 0.468
Pm 0.388 0.612 0.788
Pm 0.482 0.518 0.509
Pm 0.518 0.482 0.009
Pm 0.612 0.388 0.288
Pm 0.705 0.295 0.968
Pm 0.718 0.282 0.575
Pm 0.981 0.019 0.288
Dy 0.408 0.592 0.233
Dy 0.592 0.408 0.733
Ho 0.205 0.795 0.775
Ho 0.795 0.205 0.275

***

Density functional theory data (PBE) for crystalline Tb6Pm12Nd at its relaxed geometry.

## Properties
Formation energy from the elements (eV/atom): 0.20
Magnetization (μB per cell): 0.00
Uncorrected energy (eV for the cell shown): -85.836

Cell: 8.841 8.841 8.841 Å, 98.96 98.96 98.96°
Atoms (fractional coordinates):
Tb 0.160 0.597 0.597
Tb 0.403 0.403 0.840
Tb 0.403 0.840 0.403
Tb 0.597 0.160 0.597
Tb 0.597 0.597 0.160
Tb 0.840 0.403 0.403
Pm 0.000 0.259 0.741
Pm 0.000 0.741 0.259
Pm 0.145 0.145 0.417
Pm 0.145 0.417 0.145
Pm 0.259 0.000 0.741
Pm 0.259 0.741 0.000
Pm 0.417 0.145 0.145
Pm 0.583 0.855 0.855
Pm 0.741 0.000 0.259
Pm 0.741 0.259 0.000
Pm 0.855 0.583 0.855
Pm 0.855 0.855 0.583
Nd 0.500 0.500 0.500

***

Density functional theory data (PBE) for crystalline ScTaAu at its relaxed geometry.

## Properties
Formation energy from the elements (eV/atom): 0.27
Magnetization (μB per cell): 0.00
Uncorrected energy (eV for the cell shown): -20.664

Cell: 4.544 4.544 4.544 Å, 60.00 60.00 60.00°
Atoms (fractional coordinates):
Sc 0.000 0.000 0.000
Ta 0.500 0.500 0.500
Au 0.750 0.750 0.750

***

Density functional theory data (PBE) for crystalline La3Dy6YEr2 at its relaxed geometry.

## Properties
Formation energy from the elements (eV/atom): 0.02
Magnetization (μB per cell): 0.00
Uncorrected energy (eV for the cell shown): -57.695

Cell: 6.224 6.224 11.882 Å, 95.01 95.01 120.02°
Atoms (fractional coordinates):
La 0.000 0.000 0.000
La 0.333 0.667 0.000
La 0.667 0.333 0.000
Dy 0.084 0.419 0.256
Dy 0.247 0.247 0.744
Dy 0.419 0.084 0.256
Dy 0.581 0.916 0.744
Dy 0.753 0.753 0.256
Dy 0.916 0.581 0.744
Y 0.500 0.500 0.500
Er 0.167 0.833 0.500
Er 0.833 0.167 0.500

***

Density functional theory data (PBE) for crystalline BaAgBrO at its relaxed geometry.

## Properties
Energy relative to the elements, uncorrected (meV/atom): -1473
Magnetization (μB per cell): 0.00
Uncorrected energy (eV for the cell shown): -34.597

Cell: 13.925 13.925 13.925 Å, 17.78 17.78 17.78°
Atoms (fractional coordinates):
Ba 0.107 0.107 0.107
Ba 0.893 0.893 0.893
Ag 0.296 0.296 0.296
Ag 0.704 0.704 0.704
Br 0.000 0.000 0.000
Br 0.500 0.500 0.500
O 0.244 0.244 0.244
O 0.756 0.756 0.756

***

Density functional theory data (PBE) for crystalline Na3Tl2SnPb3 at its relaxed geometry.

## Properties
Formation energy from the elements (eV/atom): -0.09
Magnetization (μB per cell): 0.00
Uncorrected energy (eV for the cell shown): -24.651

Cell: 9.046 9.046 3.793 Å, 90.00 90.00 120.00°
Atoms (fractional coordinates):
Na 0.000 0.375 0.000
Na 0.375 0.000 0.000
Na 0.625 0.625 0.000
Tl 0.333 0.667 0.500
Tl 0.667 0.333 0.500
Sn 0.000 0.000 0.000
Pb 0.000 0.712 0.500
Pb 0.288 0.288 0.500
Pb 0.712 0.000 0.500

***

Density functional theory data (PBE) for crystalline Pr2Ag15Hg2 at its relaxed geometry.

## Properties
Formation energy from the elements (eV/atom): -0.08
Magnetization (μB per cell): 0.00
Uncorrected energy (eV for the cell shown): -54.433

Cell: 7.383 7.383 7.383 Å, 83.03 83.03 83.03°
Atoms (fractional coordinates):
Pr 0.151 0.151 0.151
Pr 0.849 0.849 0.849
Ag 0.000 0.500 0.500
Ag 0.149 0.149 0.662
Ag 0.149 0.662 0.149
Ag 0.192 0.500 0.808
Ag 0.192 0.808 0.500
Ag 0.338 0.851 0.851
Ag 0.500 0.000 0.500
Ag 0.500 0.192 0.808
Ag 0.500 0.500 0.000
Ag 0.500 0.808 0.192
Ag 0.662 0.149 0.149
Ag 0.808 0.192 0.500
Ag 0.808 0.500 0.192
Ag 0.851 0.338 0.851
Ag 0.851 0.851 0.338
Hg 0.393 0.393 0.393
Hg 0.607 0.607 0.607

***

Density functional theory data (PBE) for crystalline K3MnCu2Cl8 at its relaxed geometry.

## Properties
Energy relative to the elements, uncorrected (meV/atom): -1247
Magnetization (μB per cell): 4.00
Uncorrected energy (eV for the cell shown): -52.891

Cell: 6.980 6.980 8.958 Å, 90.00 90.00 120.00°
Atoms (fractional coordinates):
K 0.000 0.000 0.000
K 0.333 0.667 0.629
K 0.667 0.333 0.371
Mn 0.000 0.000 0.500
Cu 0.333 0.667 0.206
Cu 0.667 0.333 0.794
Cl 0.163 0.327 0.336
Cl 0.163 0.837 0.336
Cl 0.327 0.163 0.664
Cl 0.333 0.667 0.964
Cl 0.667 0.333 0.036
Cl 0.673 0.837 0.336
Cl 0.837 0.163 0.664
Cl 0.837 0.673 0.664

***

Density functional theory data (PBE) for crystalline ZnOs2Se at its relaxed geometry.

## Properties
Energy relative to the elements, uncorrected (meV/atom): 360
Magnetization (μB per cell): 0.00
Uncorrected energy (eV for the cell shown): -25.779

Cell: 8.843 8.843 8.843 Å, 18.72 18.72 18.72°
Atoms (fractional coordinates):
Zn 0.000 0.000 0.000
Os 0.494 0.494 0.494
Os 0.748 0.748 0.748
Se 0.238 0.238 0.238

***

Density functional theory data (PBE) for crystalline ZrPSeN2 at its relaxed geometry.

## Properties
Energy relative to the elements, uncorrected (meV/atom): 744
Magnetization (μB per cell): 0.36
Uncorrected energy (eV for the cell shown): -30.373

Cell: 4.087 4.087 5.760 Å, 90.00 90.00 90.00°
Atoms (fractional coordinates):
Zr 0.000 0.000 0.000
P 0.500 0.500 0.500
Se 0.000 0.000 0.500
N 0.000 0.500 0.000
N 0.500 0.000 0.000